A crystal of Cd2InCo relaxed with PBEsol, computed with SCAN.

Cell: 2.894 4.868 5.143 Å, 90.00 90.00 90.95°
Fractional positions:
Cd1 0.245 0.259 0.000
Cd2 0.755 0.741 0.000
Co1 0.000 0.500 0.500
In1 0.500 0.000 0.500

Results
E_form: 260 meV per atom